The following is a GGA-PBE calculation of a geometry-optimized Ti3VPt2 structure, from the Alexandria database.

Values from the calculation:
* size of the total moment: 0.00 μB per formula unit
* volume: 196 Å³/cell
* DFT formation energy: -0.274 eV per atom

Lattice parameters (Å, degrees): 2.757 4.656 15.296 90.00 90.00 90.00
Space group Immm (No. 71)
Inequivalent atoms, fractional coordinates:
Ti (0.000, 0.000, 0.000)
Ti (0.000, 0.500, 0.181)
V (0.000, 0.500, 0.000)
Pt (0.000, 0.500, 0.353)